Record 1
Density functional theory data (PBEsol) for an optimized crystal structure of CoHgRh2.

Unit cell a=4.344 b=4.344 c=4.344 alpha=60.00 beta=60.00 gamma=60.00
Site moments in Bohr magnetons follow the coordinates.
Element x y z (fractional)
Rh 0.250 0.250 0.250  0.76
Hg 0.750 0.750 0.750  -0.02
Rh 0.000 0.000 0.000  0.47
Co 0.500 0.500 0.500  1.77

Output
calculated formation energy = 0.3963 eV/atom

***

Record 2
Density functional theory data (PBEsol) for an optimized crystal structure of CoHgRh.

Unit cell a=4.217 b=4.217 c=4.217 alpha=60.00 beta=60.00 gamma=60.00
Site moments in Bohr magnetons follow the coordinates.
Element x y z (fractional)
Rh 0.000 0.000 0.000  0.51
Co 0.500 0.500 0.500  1.91
Hg 0.250 0.250 0.250  0.01

Output
calculated formation energy = 0.9548 eV/atom

***

Record 3
Density functional theory data (PBEsol) for an optimized crystal structure of CoHgRu2.

Unit cell a=2.721 b=4.401 c=5.387 alpha=114.11 beta=104.63 gamma=90.00
Site moments in Bohr magnetons follow the coordinates.
Element x y z (fractional)
Co 0.500 0.000 0.000  0.69
Ru 0.217 0.217 0.434  0.02
Hg 0.000 0.500 0.000  -0.01
Ru 0.783 0.783 0.566  0.02

Output
calculated formation energy = 0.4773 eV/atom

***

Record 4
Density functional theory data (PBEsol) for an optimized crystal structure of CoHg2Ru.

Unit cell a=3.142 b=3.142 c=6.332 alpha=90.00 beta=90.00 gamma=90.00
Site moments in Bohr magnetons follow the coordinates.
Element x y z (fractional)
Co 0.500 0.500 0.500  1.35
Ru 0.500 0.500 0.000  0.82
Hg 0.000 0.000 0.262  -0.01
Hg 0.000 0.000 0.738  -0.01

Output
calculated formation energy = 0.5575 eV/atom

***

Record 5
Density functional theory data (PBEsol) for an optimized crystal structure of CoHgS2.

Unit cell a=3.336 b=3.336 c=7.584 alpha=77.30 beta=77.30 gamma=60.00
Element x y z (fractional)
S 0.117 0.117 0.649
S 0.883 0.883 0.351
Co 0.500 0.500 0.500
Hg 0.000 0.000 0.000

Output
E_form (uncorrected) = -0.32 eV/atom

***

Record 6
Density functional theory data (PBEsol) for an optimized crystal structure of CoHgSb.

Unit cell a=3.272 b=3.272 c=6.267 alpha=90.00 beta=90.00 gamma=120.00
Element x y z (fractional)
Sb 0.667 0.333 0.271
Hg 0.333 0.667 0.713
Co 0.000 0.000 0.017

Output
E_form (uncorrected) = 0.20 eV/atom

***

| no. | spin magnetization (μB/cell) |
| --- | --- |
| 1 | 2.9 |
| 2 | 2.4 |
| 3 | 0.7 |
| 4 | 2.1 |
| 5 | 0.0 |
| 6 | 0.0 |